Compound: MnPbO2
Source: Alexandria
Functional: PBE+U
Structure: relaxed

Cell: 5.2901 5.2901 6.3008 Å, 65.18 65.18 90.00°
With the nearest neighbours (Å) after each atom.
Sites, in units of the cell vectors:
Pb  0.7500  0.2500  0.5000  4 O 2.44
O  0.5696  0.1250  0.2500  2 Mn 2.10
Mn  0.2500  0.7500  0.5000  4 O 2.10
O  0.8750  0.8196  0.7500  2 Mn 2.10
Mn  0.5000  0.5000  0.0000  4 O 2.10
O  0.1804  0.6250  0.2500  2 Mn 2.10
Pb  0.0000  0.0000  0.0000  4 O 2.44
O  0.3750  0.4304  0.7500  2 Mn 2.10

Calculated values
**Electronic total energy**: -6.506 eV per atom
**Spin magnetization**: 10.0 μB per cell